The following is a DFT calculation (PBE with a Hubbard U) of crystalline Sc2CrSbO8 at its relaxed geometry.

```
data_Sc2CrSbO8
_space_group_name_H-M_alt 'C m m m'
_space_group_IT_number 65
_space_group_name_Hall '-C 2 2'
_cell_length_a 6.587
_cell_length_b 6.816
_cell_length_c 6.228
_cell_angle_alpha 90.00
_cell_angle_beta 90.00
_cell_angle_gamma 90.00
loop_
_atom_site_label
_atom_site_type_symbol
_atom_site_fract_x
_atom_site_fract_y
_atom_site_fract_z
Sc1 Sc 0.000 0.000 0.249
Cr1 Cr 0.000 0.500 0.000
Sb1 Sb 0.000 0.500 0.500
O1 O 0.000 0.314 0.243
O2 O 0.201 0.000 0.500
O3 O 0.223 0.000 0.000
```

Electronic total energy   -7.54 eV per atom
Theoretical density   4.7 g/cm3
Total magnetization   2.00 μB/cell